# Zr2IrW

A relaxed Zr2IrW crystal (PBE-GGA, Alexandria).

## Properties
The value obtained for the magnetic moment is 0.000 μB per cell. For the calculated density, the calculation gives 11.8 g/cm3. Its volume is 157 Å³ per cell. The energy is -9.460 eV/atom. Its space group is No. 122. The density of states at the Fermi level is 6.75 states/eV per cell.

a = 5.9943 Å, b = 5.9943 Å, c = 5.9943 Å
α = 102.65°, β = 102.65°, γ = 124.19°
With the nearest neighbours (Å) after each atom.
Positions (direct):
Zr 0.1091 0.6250 0.9841  2 Ir 2.66, 2 Zr 2.82, 2 W 2.82
Zr 0.3750 0.3591 0.4841  2 Ir 2.66, 2 Zr 2.82, 2 W 2.82
Zr 0.6409 0.1250 0.0159  2 Ir 2.66, 2 Zr 2.82, 2 W 2.82
Zr 0.8750 0.8909 0.5159  2 Ir 2.66, 2 Zr 2.82, 2 W 2.82
Ir 0.0000 0.0000 0.0000  4 Zr 2.66, 2 W 2.81
Ir 0.7500 0.2500 0.5000  4 Zr 2.66, 2 W 2.81
W 0.2500 0.7500 0.5000  2 Ir 2.81, 4 Zr 2.82
W 0.5000 0.5000 0.0000  2 Ir 2.81, 4 Zr 2.82